First-principles (PBE-GGA) data for a geometry-optimized Li2PmHo2Sn2 structure, as listed in Alexandria.

The structure belongs to space group R-3m (No. 166, hexagonal axes); the cell edges are 4.8028, 4.8028 and 26.6681 Å and the angles 90.00°, 90.00° and 120.00°. The inequivalent atoms are Li at (0.0000, 0.0000, 0.0911), Pm at (0.0000, 0.0000, 0.5000), Ho at (0.0000, 0.0000, 0.3699) and Sn at (0.0000, 0.0000, 0.2395).

As for the calculated volume: 177.6 Å³/f.u. For the total magnetization, the calculation gives 0.00 Bohr magnetons per cell. As for the uncorrected energy: -86.9 eV/cell. Its calculated formation energy is -460 meV per atom.